VASP calculation (PBE with a Hubbard U) on an optimized crystal structure of NaV2As2O7.

Lattice parameters (Å, degrees): 8.4917 8.4917 8.4917 37.56 37.56 37.56
Sites, in units of the cell vectors:
Na (0.0000, 0.0000, 0.0000)
V (0.4226, 0.4226, 0.4226)
V (0.5774, 0.5774, 0.5774)
As (0.2286, 0.2286, 0.2286)
As (0.7714, 0.7714, 0.7714)
O (0.0404, 0.4702, 0.6883)
O (0.3117, 0.5298, 0.9596)
O (0.4702, 0.6883, 0.0404)
O (0.5000, 0.5000, 0.5000)
O (0.5298, 0.9596, 0.3117)
O (0.6883, 0.0404, 0.4702)
O (0.9596, 0.3117, 0.5298)

=====

VASP calculation (PBE with a Hubbard U) on an optimized crystal structure of NaVAs2O6.

Lattice parameters (Å, degrees): 8.1087 8.1087 5.5601 92.46 92.46 97.71
Sites, in units of the cell vectors:
Na (0.1017, 0.8983, 0.7500)
Na (0.8983, 0.1017, 0.2500)
V (0.1702, 0.8298, 0.2500)
V (0.8298, 0.1702, 0.7500)
As (0.2039, 0.3759, 0.6571)
As (0.3759, 0.2039, 0.1571)
As (0.6241, 0.7961, 0.8429)
As (0.7961, 0.6241, 0.3429)
O (0.0403, 0.1923, 0.6258)
O (0.1784, 0.6922, 0.0224)
O (0.1923, 0.0403, 0.1258)
O (0.2871, 0.3471, 0.3613)
O (0.3078, 0.8216, 0.4776)
O (0.3471, 0.2871, 0.8613)
O (0.6529, 0.7129, 0.1387)
O (0.6922, 0.1784, 0.5224)
O (0.7129, 0.6529, 0.6387)
O (0.8077, 0.9597, 0.8742)
O (0.8216, 0.3078, 0.9776)
O (0.9597, 0.8077, 0.3742)

=====

VASP calculation (PBE with a Hubbard U) on an optimized crystal structure of NaVAsO5.

Lattice parameters (Å, degrees): 5.6012 5.6012 7.1134 104.34 104.34 105.20
Sites, in units of the cell vectors:
Na (0.1744, 0.8256, 0.7500)
Na (0.8256, 0.1744, 0.2500)
V (0.5000, 0.5000, 0.0000)
V (0.5000, 0.5000, 0.5000)
As (0.1828, 0.8172, 0.2500)
As (0.8172, 0.1828, 0.7500)
O (0.1263, 0.2522, 0.9160)
O (0.1853, 0.6036, 0.3884)
O (0.2522, 0.1263, 0.4160)
O (0.3964, 0.8147, 0.1116)
O (0.4440, 0.5560, 0.7500)
O (0.5560, 0.4440, 0.2500)
O (0.6036, 0.1853, 0.8884)
O (0.7478, 0.8737, 0.5840)
O (0.8147, 0.3964, 0.6116)
O (0.8737, 0.7478, 0.0840)

Output
For the energy above the most stable polymorph in this dataset, the calculation gives 0.003 eV per atom.

=====

VASP calculation (PBE with a Hubbard U) on an optimized crystal structure of Na2VAsO5.

Lattice parameters (Å, degrees): 6.8727 6.8727 10.9475 90.00 90.00 152.46
Sites, in units of the cell vectors:
Na (0.0880, 0.9120, 0.5000)
Na (0.1496, 0.8504, 0.1490)
Na (0.8504, 0.1496, 0.6490)
Na (0.9120, 0.0880, 0.0000)
V (0.2300, 0.7700, 0.8827)
V (0.7700, 0.2300, 0.3827)
As (0.4441, 0.5559, 0.2769)
As (0.5559, 0.4441, 0.7769)
O (0.0583, 0.9417, 0.8642)
O (0.2761, 0.7239, 0.4891)
O (0.3095, 0.6905, 0.2574)
O (0.3531, 0.6469, 0.8410)
O (0.4916, 0.5084, 0.1305)
O (0.5084, 0.4916, 0.6305)
O (0.6469, 0.3531, 0.3410)
O (0.6905, 0.3095, 0.7574)
O (0.7239, 0.2761, 0.9891)
O (0.9417, 0.0583, 0.3642)

=====

VASP calculation (PBE with a Hubbard U) on an optimized crystal structure of NaV2AsO6.

Lattice parameters (Å, degrees): 7.1681 7.1681 5.9855 103.11 103.11 79.45
Sites, in units of the cell vectors:
Na (0.1017, 0.8983, 0.7500)
Na (0.8983, 0.1017, 0.2500)
V (0.1767, 0.3758, 0.7646)
V (0.3758, 0.1767, 0.2646)
V (0.6242, 0.8233, 0.7354)
V (0.8233, 0.6242, 0.2354)
As (0.2640, 0.7360, 0.2500)
As (0.7360, 0.2640, 0.7500)
O (0.0278, 0.7752, 0.3327)
O (0.1371, 0.6186, 0.9077)
O (0.2248, 0.9722, 0.1673)
O (0.2620, 0.3498, 0.4928)
O (0.3498, 0.2620, 0.9928)
O (0.3814, 0.8629, 0.5923)
O (0.6186, 0.1371, 0.4077)
O (0.6502, 0.7380, 0.0072)
O (0.7380, 0.6502, 0.5072)
O (0.7752, 0.0278, 0.8327)
O (0.8629, 0.3814, 0.0923)
O (0.9722, 0.2248, 0.6673)

=====

VASP calculation (PBE with a Hubbard U) on an optimized crystal structure of NaVAsO5.

Lattice parameters (Å, degrees): 6.8046 8.8805 7.2083 90.00 114.57 90.00
Sites, in units of the cell vectors:
Na (0.2425, 0.0775, 0.2335)
Na (0.2425, 0.4225, 0.7335)
Na (0.7575, 0.5775, 0.2665)
Na (0.7575, 0.9225, 0.7665)
V (0.2556, 0.7418, 0.9833)
V (0.2556, 0.7582, 0.4833)
V (0.7444, 0.2418, 0.5167)
V (0.7444, 0.2582, 0.0167)
As (0.2490, 0.0659, 0.7477)
As (0.2490, 0.4341, 0.2477)
As (0.7510, 0.5659, 0.7523)
As (0.7510, 0.9341, 0.2523)
O (0.0527, 0.1799, 0.5772)
O (0.0527, 0.3201, 0.0772)
O (0.1520, 0.5427, 0.3906)
O (0.1520, 0.9573, 0.8906)
O (0.2481, 0.6909, 0.7492)
O (0.2481, 0.8091, 0.2492)
O (0.3645, 0.5412, 0.1195)
O (0.3645, 0.9588, 0.6195)
O (0.4323, 0.1930, 0.9067)
O (0.4323, 0.3070, 0.4067)
O (0.5677, 0.6930, 0.5933)
O (0.5677, 0.8070, 0.0933)
O (0.6355, 0.0412, 0.3805)
O (0.6355, 0.4588, 0.8805)
O (0.7519, 0.1909, 0.7508)
O (0.7519, 0.3091, 0.2508)
O (0.8480, 0.0427, 0.1094)
O (0.8480, 0.4573, 0.6094)
O (0.9473, 0.6799, 0.9228)
O (0.9473, 0.8201, 0.4228)

Output
For the energy above the most stable polymorph in this dataset, the calculation gives 0.000 eV per atom.

=====

VASP calculation (PBE with a Hubbard U) on an optimized crystal structure of Na2VAsO4.

Lattice parameters (Å, degrees): 5.2983 5.2983 5.2983 114.53 114.53 99.76
Sites, in units of the cell vectors:
Na (0.0000, 0.0000, 0.0000)
Na (0.7500, 0.2500, 0.5000)
V (0.5000, 0.5000, 0.0000)
As (0.2500, 0.7500, 0.5000)
O (0.2625, 0.1585, 0.5582)
O (0.2957, 0.7375, 0.8960)
O (0.6003, 0.7043, 0.4418)
O (0.8415, 0.3997, 0.1040)

=====

VASP calculation (PBE with a Hubbard U) on an optimized crystal structure of NaVAs2O8.

Lattice parameters (Å, degrees): 5.6538 5.6538 5.6538 106.35 106.35 115.92
Sites, in units of the cell vectors:
Na (0.0000, 0.0000, 0.0000)
V (0.2500, 0.7500, 0.5000)
As (0.5000, 0.5000, 0.0000)
As (0.7500, 0.2500, 0.5000)
O (0.3244, 0.1223, 0.7979)
O (0.3244, 0.5265, 0.2021)
O (0.3669, 0.0437, 0.3232)
O (0.4735, 0.6756, 0.7979)
O (0.7205, 0.0437, 0.6768)
O (0.8777, 0.6756, 0.2021)
O (0.9563, 0.2795, 0.3232)
O (0.9563, 0.6331, 0.6768)

=====

Total energy, record by record: -0.486 -0.461 -0.477 -0.438 -0.499 -0.477 -0.413 -0.441 Ry/atom
Magnetization, record by record: 3.00 0.00 2.00 2.18 4.00 4.00 0.05 0.00 μB/cell